#A
Compound: LaBeGa
Source: Alexandria via LeMat-Bulk
Functional: PBE
Structure: relaxed

Structure (CIF):
```
data_LaBeGa
_space_group_name_H-M_alt 'P n m a'
_space_group_IT_number 62
_cell_length_a 5.7010
_cell_length_b 4.0150
_cell_length_c 11.3720
_cell_angle_alpha 90.00
_cell_angle_beta 90.00
_cell_angle_gamma 90.00
loop_
_space_group_symop_operation_xyz
'x,y,z'
'-x,-y,-z'
'-x+1/2,-y,z+1/2'
'x+1/2,y,-z+1/2'
'x+1/2,-y+1/2,-z+1/2'
'-x+1/2,y+1/2,z+1/2'
'-x,y+1/2,-z'
'x,-y+1/2,z'
loop_
_atom_site_label
_atom_site_type_symbol
_atom_site_fract_x
_atom_site_fract_y
_atom_site_fract_z
_atom_site_occupancy
La1 La 0.1277 0.2500 0.1497 1
Be1 Be 0.1157 0.7500 0.3637 1
Ga1 Ga 0.1480 0.2500 0.4652 1
```

Results
Calculated volume: 260.3 Å³ per cell


#B
Compound: LaBeGa
Source: Alexandria via LeMat-Bulk
Functional: PBE
Structure: relaxed

Structure (CIF):
```
data_LaBeGa
_space_group_name_H-M_alt 'I -4 m 2'
_space_group_IT_number 119
_space_group_name_Hall 'I -4 -2'
_cell_length_a 4.1912
_cell_length_b 4.1912
_cell_length_c 14.8329
_cell_angle_alpha 90.00
_cell_angle_beta 90.00
_cell_angle_gamma 90.00
loop_
_atom_site_label
_atom_site_type_symbol
_atom_site_fract_x
_atom_site_fract_y
_atom_site_fract_z
_atom_site_occupancy
La1 La 0.0000 0.0000 0.0000 1
La2 La 0.0000 0.5000 0.2500 1
Be1 Be 0.0000 0.0000 0.4215 1
Ga1 Ga 0.0000 0.5000 0.6596 1
```

Results
Calculated volume: 260.6 Å³ per cell


Q: Which of them is the least stable? A: #A.


#A
Compound: LaBeGa
Source: Alexandria via LeMat-Bulk
Functional: PBE
Structure: relaxed

Structure (CIF):
```
data_LaBeGa
_space_group_name_H-M_alt 'P 4/n m m'
_space_group_IT_number 129
_cell_length_a 4.3068
_cell_length_b 4.3068
_cell_length_c 6.8724
_cell_angle_alpha 90.00
_cell_angle_beta 90.00
_cell_angle_gamma 90.00
loop_
_space_group_symop_operation_xyz
'x,y,z'
'-x,-y,-z'
'-y+1/2,x,z'
'y+1/2,-x,-z'
'-x+1/2,-y+1/2,z'
'x+1/2,y+1/2,-z'
'y,-x+1/2,z'
'-y,x+1/2,-z'
'x+1/2,-y,-z'
'-x+1/2,y,z'
'-y,-x,-z'
'y,x,z'
'-x,y+1/2,-z'
'x,-y+1/2,z'
'y+1/2,x+1/2,-z'
'-y+1/2,-x+1/2,z'
loop_
_atom_site_label
_atom_site_type_symbol
_atom_site_fract_x
_atom_site_fract_y
_atom_site_fract_z
_atom_site_occupancy
La1 La 0.2500 0.2500 0.2043 1
Be1 Be 0.2500 0.7500 0.5000 1
Ga1 Ga 0.2500 0.2500 0.6867 1
```

Results
Calculated volume: 127.5 Å³ per cell


#B
Compound: LaBeGa
Source: Alexandria via LeMat-Bulk
Functional: PBE
Structure: relaxed

Structure (CIF):
```
data_LaBeGa
_space_group_name_H-M_alt 'P 1'
_space_group_IT_number 1
_cell_length_a 3.9490
_cell_length_b 5.6674
_cell_length_c 6.2583
_cell_angle_alpha 75.90
_cell_angle_beta 71.63
_cell_angle_gamma 89.99
loop_
_space_group_symop_operation_xyz
'x,y,z'
loop_
_atom_site_label
_atom_site_type_symbol
_atom_site_fract_x
_atom_site_fract_y
_atom_site_fract_z
_atom_site_occupancy
La1 La 0.0000 0.0000 0.0000 1
La2 La 0.2095 0.5979 0.5797 1
Be1 Be 0.3302 0.1651 0.3393 1
Be2 Be 0.4878 0.4653 0.0222 1
Ga1 Ga 0.7185 0.0611 0.5633 1
Ga2 Ga 0.8905 0.4530 0.2174 1
```

Results
Calculated volume: 128.5 Å³ per cell


#C
Compound: LaBeGa
Source: Alexandria via LeMat-Bulk
Functional: PBE
Structure: relaxed

Structure (CIF):
```
data_LaBeGa
_space_group_name_H-M_alt 'P 1'
_space_group_IT_number 1
_cell_length_a 4.0072
_cell_length_b 5.4190
_cell_length_c 5.9261
_cell_angle_alpha 92.37
_cell_angle_beta 109.74
_cell_angle_gamma 90.04
loop_
_space_group_symop_operation_xyz
'x,y,z'
loop_
_atom_site_label
_atom_site_type_symbol
_atom_site_fract_x
_atom_site_fract_y
_atom_site_fract_z
_atom_site_occupancy
La1 La 0.0000 0.0000 0.0000 1
La2 La 0.4048 0.4757 0.8164 1
Be1 Be 0.2726 0.9314 0.5494 1
Be2 Be 0.7157 0.7503 0.4348 1
Ga1 Ga 0.1325 0.5310 0.2703 1
Ga2 Ga 0.7167 0.2084 0.4379 1
```

Results
Calculated volume: 121.0 Å³ per cell


#D
Compound: LaBeGa
Source: Alexandria via LeMat-Bulk
Functional: PBE
Structure: relaxed

Structure (CIF):
```
data_LaBeGa
_space_group_name_H-M_alt 'P -1'
_space_group_IT_number 2
_cell_length_a 3.9010
_cell_length_b 5.5873
_cell_length_c 6.2491
_cell_angle_alpha 102.25
_cell_angle_beta 108.13
_cell_angle_gamma 90.01
loop_
_space_group_symop_operation_xyz
'x,y,z'
'-x,-y,-z'
loop_
_atom_site_label
_atom_site_type_symbol
_atom_site_fract_x
_atom_site_fract_y
_atom_site_fract_z
_atom_site_occupancy
La1 La 0.1079 0.3090 0.2142 1
Be1 Be 0.2229 0.8779 0.4472 1
Ga1 Ga 0.3824 0.2090 0.7641 1
```

Results
Calculated volume: 126.2 Å³ per cell


Q: Which of them is the least stable? A: #C.


#A
Compound: LaBeGa
Source: Alexandria via LeMat-Bulk
Functional: PBE
Structure: relaxed

Structure (CIF):
```
data_LaBeGa
_space_group_name_H-M_alt 'P -1'
_space_group_IT_number 2
_cell_length_a 4.0435
_cell_length_b 5.4084
_cell_length_c 5.8369
_cell_angle_alpha 90.04
_cell_angle_beta 110.26
_cell_angle_gamma 90.00
loop_
_space_group_symop_operation_xyz
'x,y,z'
'-x,-y,-z'
loop_
_atom_site_label
_atom_site_type_symbol
_atom_site_fract_x
_atom_site_fract_y
_atom_site_fract_z
_atom_site_occupancy
La1 La 0.2025 0.2492 0.4077 1
Be1 Be 0.0749 0.7490 0.1468 1
Ga1 Ga 0.5000 0.0000 0.0000 1
Ga2 Ga 0.5000 0.5000 0.0000 1
```

Results
Calculated volume: 119.8 Å³ per cell


#B
Compound: LaBeGa
Source: Alexandria via LeMat-Bulk
Functional: PBE
Structure: relaxed

Structure (CIF):
```
data_LaBeGa
_space_group_name_H-M_alt 'P 63/m m c'
_space_group_IT_number 194
_space_group_name_Hall '-P 6c 2c'
_cell_length_a 4.9775
_cell_length_b 4.9775
_cell_length_c 6.2298
_cell_angle_alpha 90.00
_cell_angle_beta 90.00
_cell_angle_gamma 120.00
loop_
_atom_site_label
_atom_site_type_symbol
_atom_site_fract_x
_atom_site_fract_y
_atom_site_fract_z
_atom_site_occupancy
La1 La 0.3333 0.6667 0.2500 1
Be1 Be 0.0000 0.0000 0.0000 1
Ga1 Ga 0.3333 0.6667 0.7500 1
```

Results
Calculated volume: 133.7 Å³ per cell


#C
Compound: LaBeGa
Source: Alexandria via LeMat-Bulk
Functional: PBE
Structure: relaxed

Structure (CIF):
```
data_LaBeGa
_space_group_name_H-M_alt 'I m m m'
_space_group_IT_number 71
_space_group_name_Hall '-I 2 2'
_cell_length_a 4.0747
_cell_length_b 7.1848
_cell_length_c 8.9269
_cell_angle_alpha 90.00
_cell_angle_beta 90.00
_cell_angle_gamma 90.00
loop_
_atom_site_label
_atom_site_type_symbol
_atom_site_fract_x
_atom_site_fract_y
_atom_site_fract_z
_atom_site_occupancy
La1 La 0.0000 0.0000 0.2493 1
Be1 Be 0.0000 0.3432 0.0000 1
Ga1 Ga 0.0000 0.3194 0.5000 1
```

Results
Calculated volume: 261.3 Å³ per cell


#D
Compound: LaBeGa
Source: Alexandria via LeMat-Bulk
Functional: PBE
Structure: relaxed

Structure (CIF):
```
data_LaBeGa
_space_group_name_H-M_alt 'I m m 2'
_space_group_IT_number 44
_cell_length_a 4.4826
_cell_length_b 7.6208
_cell_length_c 7.1402
_cell_angle_alpha 90.00
_cell_angle_beta 90.00
_cell_angle_gamma 90.00
loop_
_space_group_symop_operation_xyz
'x,y,z'
'-x,-y,z'
'-x,y,z'
'x,-y,z'
'x+1/2,y+1/2,z+1/2'
'-x+1/2,-y+1/2,z+1/2'
'-x+1/2,y+1/2,z+1/2'
'x+1/2,-y+1/2,z+1/2'
loop_
_atom_site_label
_atom_site_type_symbol
_atom_site_fract_x
_atom_site_fract_y
_atom_site_fract_z
_atom_site_occupancy
La1 La 0.0000 0.0000 0.0000 1
La2 La 0.0000 0.5000 0.0897 1
Be1 Be 0.0000 0.1758 0.3790 1
Ga1 Ga 0.0000 0.3041 0.7020 1
```

Results
Calculated volume: 243.9 Å³ per cell


Q: Which of them is the least stable? A: #B.


#A
Compound: La2BeGa
Source: Alexandria via LeMat-Bulk
Functional: PBE
Structure: relaxed

Structure (CIF):
```
data_La2BeGa
_space_group_name_H-M_alt 'F m -3 m'
_space_group_IT_number 225
_space_group_name_Hall '-F 4 2 3'
_cell_length_a 7.3903
_cell_length_b 7.3903
_cell_length_c 7.3903
_cell_angle_alpha 90.00
_cell_angle_beta 90.00
_cell_angle_gamma 90.00
loop_
_atom_site_label
_atom_site_type_symbol
_atom_site_fract_x
_atom_site_fract_y
_atom_site_fract_z
_atom_site_occupancy
La1 La 0.2500 0.2500 0.2500 1
Be1 Be 0.0000 0.0000 0.0000 1
Ga1 Ga 0.0000 0.0000 0.5000 1
```

Results
Calculated volume: 403.6 Å³ per cell


#B
Compound: La2BeGa
Source: Alexandria via LeMat-Bulk
Functional: PBE
Structure: relaxed

Structure (CIF):
```
data_La2BeGa
_space_group_name_H-M_alt 'P 4/m m m'
_space_group_IT_number 123
_space_group_name_Hall '-P 4 2'
_cell_length_a 3.6748
_cell_length_b 3.6748
_cell_length_c 7.3882
_cell_angle_alpha 90.00
_cell_angle_beta 90.00
_cell_angle_gamma 90.00
loop_
_atom_site_label
_atom_site_type_symbol
_atom_site_fract_x
_atom_site_fract_y
_atom_site_fract_z
_atom_site_occupancy
La1 La 0.0000 0.0000 0.2329 1
Be1 Be 0.5000 0.5000 0.0000 1
Ga1 Ga 0.5000 0.5000 0.5000 1
```

Results
Calculated volume: 99.8 Å³ per cell


#C
Compound: La2BeGa
Source: Alexandria via LeMat-Bulk
Functional: PBE
Structure: relaxed

Structure (CIF):
```
data_La2BeGa
_space_group_name_H-M_alt 'I -4 2 d'
_space_group_IT_number 122
_space_group_name_Hall 'I -4 2bw'
_cell_length_a 8.2198
_cell_length_b 8.2198
_cell_length_c 6.1431
_cell_angle_alpha 90.00
_cell_angle_beta 90.00
_cell_angle_gamma 90.00
loop_
_atom_site_label
_atom_site_type_symbol
_atom_site_fract_x
_atom_site_fract_y
_atom_site_fract_z
_atom_site_occupancy
La1 La 0.2090 0.2500 0.1250 1
Be1 Be 0.0000 0.0000 0.0000 1
Ga1 Ga 0.0000 0.0000 0.5000 1
```

Results
Calculated volume: 415.1 Å³ per cell


Q: Which of them is the least stable? A: #C.


#A
Compound: LaBe3Ga
Source: Alexandria via LeMat-Bulk
Functional: PBE
Structure: relaxed

Structure (CIF):
```
data_LaBe3Ga
_space_group_name_H-M_alt 'P m -3 m'
_space_group_IT_number 221
_space_group_name_Hall '-P 4 2 3'
_cell_length_a 5.2698
_cell_length_b 5.2698
_cell_length_c 5.2698
_cell_angle_alpha 90.00
_cell_angle_beta 90.00
_cell_angle_gamma 90.00
loop_
_atom_site_label
_atom_site_type_symbol
_atom_site_fract_x
_atom_site_fract_y
_atom_site_fract_z
_atom_site_occupancy
La1 La 0.0000 0.0000 0.0000 1
Be1 Be 0.0000 0.0000 0.5000 1
Ga1 Ga 0.5000 0.5000 0.5000 1
```

Results
Calculated volume: 146.3 Å³ per cell


#B
Compound: LaBe3Ga
Source: Alexandria via LeMat-Bulk
Functional: PBE
Structure: relaxed

Structure (CIF):
```
data_LaBe3Ga
_space_group_name_H-M_alt 'P m -3 m'
_space_group_IT_number 221
_space_group_name_Hall '-P 4 2 3'
_cell_length_a 4.3784
_cell_length_b 4.3784
_cell_length_c 4.3784
_cell_angle_alpha 90.00
_cell_angle_beta 90.00
_cell_angle_gamma 90.00
loop_
_atom_site_label
_atom_site_type_symbol
_atom_site_fract_x
_atom_site_fract_y
_atom_site_fract_z
_atom_site_occupancy
La1 La 0.0000 0.0000 0.0000 1
Be1 Be 0.0000 0.5000 0.5000 1
Ga1 Ga 0.5000 0.5000 0.5000 1
```

Results
Calculated volume: 83.9 Å³ per cell


Q: Which of them is the least stable? A: #A.